Compound: GaPOsCl2
Source: Alexandria via LeMat-Bulk
Functional: PBE-GGA
Structure: optimized geometry

## Properties
SG = P4/mmm
Calculated total energy = -4.4671 eV per atom
Theoretical density = 5.26 g cm⁻³
V = 22.9 Å³/atom
Energy above the most stable polymorph in this dataset = 0.000 eV/atom
Uncorrected formation energy = 0.205 eV per atom

Unit cell a=5.056 b=5.056 c=4.470 alpha=90.00 beta=90.00 gamma=90.00
Positions (direct):
P: 0.000 0.000 0.500
Os: 0.000 0.000 0.000
Ga: 0.500 0.500 0.500
Cl: 0.000 0.500 0.000
Cl: 0.500 0.000 0.000